Density functional theory data (GGA-PBEsol) for a relaxed Na4Ga3Si3ClO12 crystal.

Values from the calculation:
Fermi-level density of states = 0.00 states/eV/cell
Theoretical density = 2.8 g cm⁻³
Space-group type = P-43n (218)
Total magnetic moment = 0.00 μB per cell
Uncorrected formation energy = -2.2963 eV/atom
Volume = 719.54 Å³ per cell

Cell: 8.961 8.961 8.961 Å, 90.00 90.00 90.00°
Atoms (fractional coordinates):
1 Na 0.172 0.172 0.172
2 Na 0.172 0.828 0.828
3 Na 0.328 0.328 0.672
4 Na 0.328 0.672 0.328
5 Na 0.672 0.328 0.328
6 Na 0.672 0.672 0.672
7 Na 0.828 0.172 0.828
8 Na 0.828 0.828 0.172
9 Ga 0.000 0.250 0.500
10 Ga 0.000 0.750 0.500
11 Ga 0.250 0.500 0.000
12 Ga 0.500 0.000 0.250
13 Ga 0.500 0.000 0.750
14 Ga 0.750 0.500 0.000
15 Si 0.000 0.500 0.250
16 Si 0.000 0.500 0.750
17 Si 0.250 0.000 0.500
18 Si 0.500 0.250 0.000
19 Si 0.500 0.750 0.000
20 Si 0.750 0.000 0.500
21 Cl 0.000 0.000 0.000
22 Cl 0.500 0.500 0.500
23 O 0.075 0.366 0.651
24 O 0.075 0.634 0.349
25 O 0.134 0.425 0.151
26 O 0.134 0.575 0.849
27 O 0.151 0.134 0.425
28 O 0.151 0.866 0.575
29 O 0.349 0.075 0.634
30 O 0.349 0.925 0.366
31 O 0.366 0.349 0.925
32 O 0.366 0.651 0.075
33 O 0.425 0.151 0.134
34 O 0.425 0.849 0.866
35 O 0.575 0.151 0.866
36 O 0.575 0.849 0.134
37 O 0.634 0.349 0.075
38 O 0.634 0.651 0.925
39 O 0.651 0.075 0.366
40 O 0.651 0.925 0.634
41 O 0.849 0.134 0.575
42 O 0.849 0.866 0.425
43 O 0.866 0.425 0.849
44 O 0.866 0.575 0.151
45 O 0.925 0.366 0.349
46 O 0.925 0.634 0.651

---

Density functional theory data (GGA-PBEsol) for a relaxed Rb2NaGaCl6 crystal.

Values from the calculation:
Fermi-level density of states = 0.00 states/eV/cell
Theoretical density = 3.0 g cm⁻³
Space-group type = Fm-3m (225)
Total magnetic moment = 0.00 μB per cell
Uncorrected formation energy = -1.6033 eV/atom
Volume = 259.48 Å³ per cell

Cell: 7.159 7.159 7.159 Å, 60.00 60.00 60.00°
Atoms (fractional coordinates):
1 Rb 0.250 0.250 0.250
2 Rb 0.750 0.750 0.750
3 Na 0.000 0.000 0.000
4 Ga 0.500 0.500 0.500
5 Cl 0.267 0.267 0.733
6 Cl 0.267 0.733 0.267
7 Cl 0.267 0.733 0.733
8 Cl 0.733 0.267 0.267
9 Cl 0.733 0.267 0.733
10 Cl 0.733 0.733 0.267